# 1
DFT (GGA-PBE) results for a relaxed structure of FeNiTe2N.

abc: 5.150 5.150 3.341
angles: 90.00 90.00 90.00
Fractional positions:
Fe  0.000  0.000  0.000
Ni  0.500  0.500  0.500
Te  0.000  0.500  0.000
Te  0.500  0.000  0.000
N  0.000  0.000  0.500

## Properties
Its space group is P4/mmm, No. 123. The value obtained for the total energy is -5.3907 eV/atom. For the energy above the most stable polymorph in this dataset, the calculation gives 0.0 meV/atom.

=====

# 2
DFT (GGA-PBE) results for a relaxed structure of LaMoRu2.

abc: 10.028 10.028 10.028
angles: 16.51 16.51 16.51
Fractional positions:
La  0.000  0.000  0.000
Mo  0.236  0.236  0.236
Ru  0.497  0.497  0.497
Ru  0.760  0.760  0.760

## Properties
Its space group is R3m, No. 160. The value obtained for the formation energy is 0.62 eV/atom. The value obtained for the total energy is -7.9616 eV/atom. For the energy above the most stable polymorph in this dataset, the calculation gives 564.2 meV/atom.

=====

# 3
DFT (GGA-PBE) results for a relaxed structure of Na3Pa2HgSe6.

abc: 9.137 9.137 9.255
angles: 95.79 95.79 26.70
Fractional positions:
Na  0.000  0.000  0.000
Na  0.364  0.364  0.616
Na  0.636  0.636  0.384
Pa  0.329  0.329  0.158
Pa  0.671  0.671  0.842
Hg  0.000  0.000  0.500
Se  0.169  0.169  0.059
Se  0.193  0.193  0.644
Se  0.478  0.478  0.215
Se  0.522  0.522  0.785
Se  0.807  0.807  0.356
Se  0.831  0.831  0.941

## Properties
Its space group is C2/m, No. 12. The value obtained for the total energy is -4.8094 eV/atom.

=====

| no. | spin magnetization (μB per cell) |
| --- | --- |
| 1 | 0.0 |
| 2 | 0.0 |
| 3 | 1.1 |